No. 1
Density functional theory data (GGA-PBE) for an optimized crystal structure of KLaAs2.

Summary:
D(E_F)   0.675 states/eV/atom
Calculated volume   26.68 Å³/atom
Crystal system   tetragonal
Total moment   0.000 μB/f.u.
Raw total energy   -4.34 eV/atom

Structure (CIF):
```
data_KLaAs2
_symmetry_space_group_name_H-M 'I -4 m 2'
_symmetry_Int_Tables_number 119
_symmetry_space_group_name_Hall 'I -4 -2'
_cell_length_a 4.461
_cell_length_b 4.461
_cell_length_c 10.726
_cell_angle_alpha 90.00
_cell_angle_beta 90.00
_cell_angle_gamma 90.00
loop_
_atom_site_label
_atom_site_type_symbol
_atom_site_fract_x
_atom_site_fract_y
_atom_site_fract_z
K1 K 0.000 0.000 0.000
La1 La 0.000 0.500 0.750
As1 As 0.000 0.000 0.500
As2 As 0.000 0.500 0.250
```

No. 2
Density functional theory data (GGA-PBE) for an optimized crystal structure of Tm6In2Ir.

Summary:
D(E_F)   0.872 states/eV/atom
Calculated volume   29.41 Å³/atom
Crystal system   orthorhombic
Total moment   0.000 μB/f.u.
Raw total energy   -4.89 eV/atom

Structure (CIF):
```
data_Tm6In2Ir
_symmetry_space_group_name_H-M 'I m m m'
_symmetry_Int_Tables_number 71
_symmetry_space_group_name_Hall '-I 2 2'
_cell_length_a 4.985
_cell_length_b 7.179
_cell_length_c 14.794
_cell_angle_alpha 90.00
_cell_angle_beta 90.00
_cell_angle_gamma 90.00
loop_
_atom_site_label
_atom_site_type_symbol
_atom_site_fract_x
_atom_site_fract_y
_atom_site_fract_z
Tm1 Tm 0.000 0.224 0.000
Tm2 Tm 0.000 0.263 0.345
In1 In 0.000 0.500 0.166
Ir1 Ir 0.000 0.500 0.500
```

No. 3
Density functional theory data (GGA-PBE) for an optimized crystal structure of TaWAu2.

Summary:
D(E_F)   1.026 states/eV/atom
Calculated volume   17.49 Å³/atom
Crystal system   tetragonal
Total moment   0.001 μB/f.u.
Raw total energy   -7.43 eV/atom

Structure (CIF):
```
data_TaWAu2
_symmetry_space_group_name_H-M 'P 4/m m m'
_symmetry_Int_Tables_number 123
_symmetry_space_group_name_Hall '-P 4 2'
_cell_length_a 3.529
_cell_length_b 3.529
_cell_length_c 5.617
_cell_angle_alpha 90.00
_cell_angle_beta 90.00
_cell_angle_gamma 90.00
loop_
_atom_site_label
_atom_site_type_symbol
_atom_site_fract_x
_atom_site_fract_y
_atom_site_fract_z
Ta1 Ta 0.000 0.000 0.000
W1 W 0.000 0.000 0.500
Au1 Au 0.500 0.500 0.251
```